No. 1
Material: LiMnCu2H
Method: DFT, PBEsol
State: relaxed

Lattice parameters (Å, degrees): 4.6567 4.6567 3.0737 90.00 90.00 90.00
With the nearest neighbours (Å) after each atom.
Positions (direct):
Li 0.0000 0.0000 0.0000  8 Cu 2.79, 2 Li 3.07
Mn 0.5000 0.5000 0.5000  2 H 1.54
Cu 0.0000 0.5000 0.5000  2 Mn 2.33
Cu 0.5000 0.0000 0.5000  2 Mn 2.33
H 0.5000 0.5000 0.0000  2 Mn 1.54

Total energy (eV/f.u.): -20.7

=====

No. 2
Material: Li19Cu4H8O16
Method: DFT, PBEsol
State: relaxed

Lattice parameters (Å, degrees): 5.3849 7.3099 10.6396 90.00 90.43 90.00
With the nearest neighbours (Å) after each atom.
Positions (direct):
Li 0.0000 0.0000 0.0000  4 O 2.04-2.16
Li 0.0014 0.0000 0.5055  4 O 2.00-2.17
Li 0.1328 0.2456 0.8765  4 O 1.90-2.04
Li 0.1328 0.7544 0.8765  4 O 1.90-2.04
Li 0.2140 0.2576 0.3710  4 O 1.92-2.03
Li 0.2140 0.7425 0.3710  4 O 1.92-2.03
Li 0.3372 0.5000 0.0126  2 O 1.93-2.02
Li 0.3637 0.0000 0.1714  4 O 1.90-2.09
Li 0.4322 0.5000 0.4701  3 O 1.97-2.04
Li 0.5074 0.0000 0.9384  4 O 2.02-2.11
Li 0.5122 0.0000 0.4290  4 O 2.02-2.05
Li 0.6300 0.2468 0.0615  4 O 1.87-2.04
Li 0.6300 0.7532 0.0615  4 O 1.87-2.04
Li 0.7180 0.2523 0.5689  4 O 1.89-1.97
Li 0.7180 0.7477 0.5689  4 O 1.89-1.97
Li 0.8390 0.5000 0.9215  2 O 1.89-1.94
Li 0.8703 0.0000 0.7668  4 O 1.89-2.07
Li 0.9181 0.5000 0.4622  3 O 1.89-2.01
Li 0.9897 0.5000 0.6764  2 O 1.86-2.00
Cu 0.4173 0.0000 0.7001  2 O 1.77-1.79
Cu 0.4280 0.5000 0.7414  2 O 1.77-1.80
Cu 0.8993 0.5000 0.1976  2 O 1.75-1.76
Cu 0.9116 0.0000 0.2398  2 O 1.77-1.79
H 0.1604 0.2712 0.1205  1 O 0.99
H 0.1604 0.7288 0.1205  1 O 0.99
H 0.2090 0.2471 0.6079  1 O 0.98
H 0.2090 0.7529 0.6079  1 O 0.98
H 0.6548 0.2650 0.8196  1 O 0.99
H 0.6548 0.7350 0.8196  1 O 0.99
H 0.6567 0.2925 0.3235  1 O 0.98
H 0.6567 0.7075 0.3235  1 O 0.98
O 0.0786 0.2846 0.5480  1 H 0.98
O 0.0786 0.7154 0.5480  1 H 0.98
O 0.1212 0.5000 0.3181  1 Cu 1.75, 3 Li 1.89-1.92
O 0.1627 0.5000 0.8437  1 Cu 1.80, 4 Li 1.90-2.00
O 0.1775 0.0000 0.3411  1 Cu 1.79, 3 Li 1.92-2.00
O 0.2028 0.0000 0.8258  1 Cu 1.77, 3 Li 1.89-1.91
O 0.2537 0.2130 0.0518  1 H 0.99
O 0.2537 0.7870 0.0518  1 H 0.99
O 0.5745 0.2710 0.4039  1 H 0.98
O 0.5745 0.7290 0.4039  1 H 0.98
O 0.6589 0.5000 0.6244  1 Cu 1.77, 3 Li 1.86-1.93
O 0.6726 0.5000 0.0771  1 Cu 1.76, 4 Li 1.87-1.93
O 0.6844 0.0000 0.6016  1 Cu 1.79, 3 Li 1.89-2.00
O 0.6960 0.0000 0.1131  1 Cu 1.77, 3 Li 1.90-1.92
O 0.7582 0.2079 0.8859  1 H 0.99
O 0.7582 0.7921 0.8859  1 H 0.99

Total energy (eV/f.u.): -234.3

=====

No. 3
Material: Li5CuHO4
Method: DFT, PBEsol
State: relaxed

Lattice parameters (Å, degrees): 8.8229 8.5992 10.5026 90.00 90.00 90.00
With the nearest neighbours (Å) after each atom.
Positions (direct):
Li 0.0174 0.0827 0.2033  3 O 1.93-1.96
Li 0.0174 0.4173 0.2033  3 O 1.93-1.96
Li 0.0773 0.0666 0.5713  4 O 1.96-2.02
Li 0.0773 0.4334 0.5713  4 O 1.96-2.02
Li 0.0779 0.7500 0.5742  3 O 1.98-1.99
Li 0.1073 0.5724 0.0169  4 O 1.93-2.01
Li 0.1073 0.9276 0.0169  4 O 1.93-2.01
Li 0.1199 0.2500 0.0206  5 O 1.96-2.11
Li 0.2047 0.5868 0.3756  3 O 1.90-1.92
Li 0.2047 0.9132 0.3756  3 O 1.90-1.92
Li 0.2953 0.0868 0.8756  3 O 1.90-1.92
Li 0.2953 0.4132 0.8756  3 O 1.90-1.92
Li 0.3801 0.7500 0.5206  5 O 1.96-2.11
Li 0.3927 0.0724 0.5169  4 O 1.93-2.01
Li 0.3927 0.4276 0.5169  4 O 1.93-2.01
Li 0.4221 0.2500 0.0742  3 O 1.98-1.99
Li 0.4227 0.5666 0.0713  4 O 1.96-2.02
Li 0.4227 0.9334 0.0713  4 O 1.96-2.02
Li 0.4826 0.5827 0.7033  3 O 1.93-1.96
Li 0.4826 0.9173 0.7033  3 O 1.93-1.96
Li 0.5174 0.0827 0.2967  3 O 1.93-1.96
Li 0.5174 0.4173 0.2967  3 O 1.93-1.96
Li 0.5773 0.0666 0.9287  4 O 1.96-2.02
Li 0.5773 0.4334 0.9287  4 O 1.96-2.02
Li 0.5779 0.7500 0.9258  3 O 1.98-1.99
Li 0.6073 0.5724 0.4831  4 O 1.93-2.01
Li 0.6073 0.9276 0.4831  4 O 1.93-2.01
Li 0.6199 0.2500 0.4794  5 O 1.96-2.11
Li 0.7047 0.5868 0.1244  3 O 1.90-1.92
Li 0.7047 0.9132 0.1244  3 O 1.90-1.92
Li 0.7953 0.0868 0.6244  3 O 1.90-1.92
Li 0.7953 0.4132 0.6244  3 O 1.90-1.92
Li 0.8801 0.7500 0.9794  5 O 1.96-2.11
Li 0.8927 0.0724 0.9831  4 O 1.93-2.01
Li 0.8927 0.4276 0.9831  4 O 1.93-2.01
Li 0.9221 0.2500 0.4258  3 O 1.98-1.99
Li 0.9227 0.5666 0.4287  4 O 1.96-2.02
Li 0.9227 0.9334 0.4287  4 O 1.96-2.02
Li 0.9826 0.5827 0.7967  3 O 1.93-1.96
Li 0.9826 0.9173 0.7967  3 O 1.93-1.96
Cu 0.0201 0.2500 0.7752  3 O 1.83-1.86
Cu 0.2173 0.2500 0.3780  3 O 1.82-1.87
Cu 0.2827 0.7500 0.8780  3 O 1.82-1.87
Cu 0.4799 0.7500 0.2752  3 O 1.83-1.86
Cu 0.5201 0.2500 0.7248  3 O 1.83-1.86
Cu 0.7173 0.2500 0.1220  3 O 1.82-1.87
Cu 0.7827 0.7500 0.6220  3 O 1.82-1.87
Cu 0.9799 0.7500 0.2248  3 O 1.83-1.86
H 0.2322 0.5792 0.6979  1 O 0.98
H 0.2322 0.9208 0.6979  1 O 0.98
H 0.2678 0.0792 0.1979  1 O 0.98
H 0.2678 0.4208 0.1979  1 O 0.98
H 0.7322 0.5792 0.8021  1 O 0.98
H 0.7322 0.9208 0.8021  1 O 0.98
H 0.7678 0.0792 0.3021  1 O 0.98
H 0.7678 0.4208 0.3021  1 O 0.98
O 0.0563 0.7500 0.3865  1 Cu 1.83, 5 Li 1.92-2.02
O 0.0751 0.0888 0.3807  1 Cu 1.87, 5 Li 1.90-2.01
O 0.0751 0.4112 0.3807  1 Cu 1.87, 5 Li 1.90-2.01
O 0.0779 0.7500 0.8946  1 Cu 1.82, 5 Li 1.96-2.01
O 0.0794 0.0884 0.8825  1 Cu 1.86, 5 Li 1.91-2.04
O 0.0794 0.4116 0.8825  1 Cu 1.86, 5 Li 1.91-2.04
O 0.2404 0.0674 0.1078  1 H 0.98
O 0.2404 0.4326 0.1078  1 H 0.98
O 0.2596 0.5674 0.6078  1 H 0.98
O 0.2596 0.9326 0.6078  1 H 0.98
O 0.4206 0.5884 0.3825  1 Cu 1.86, 5 Li 1.91-2.04
O 0.4206 0.9116 0.3825  1 Cu 1.86, 5 Li 1.91-2.04
O 0.4221 0.2500 0.3946  1 Cu 1.82, 5 Li 1.96-2.01
O 0.4249 0.5888 0.8807  1 Cu 1.87, 5 Li 1.90-2.01
O 0.4249 0.9112 0.8807  1 Cu 1.87, 5 Li 1.90-2.01
O 0.4437 0.2500 0.8865  1 Cu 1.83, 5 Li 1.92-2.02
O 0.5563 0.7500 0.1135  1 Cu 1.83, 5 Li 1.92-2.02
O 0.5751 0.0888 0.1193  1 Cu 1.87, 5 Li 1.90-2.01
O 0.5751 0.4112 0.1193  1 Cu 1.87, 5 Li 1.90-2.01
O 0.5779 0.7500 0.6054  1 Cu 1.82, 5 Li 1.96-2.01
O 0.5794 0.0884 0.6175  1 Cu 1.86, 5 Li 1.91-2.04
O 0.5794 0.4116 0.6175  1 Cu 1.86, 5 Li 1.91-2.04
O 0.7404 0.0674 0.3922  1 H 0.98
O 0.7404 0.4326 0.3922  1 H 0.98
O 0.7596 0.5674 0.8922  1 H 0.98
O 0.7596 0.9326 0.8922  1 H 0.98
O 0.9206 0.5884 0.1175  1 Cu 1.86, 5 Li 1.91-2.04
O 0.9206 0.9116 0.1175  1 Cu 1.86, 5 Li 1.91-2.04
O 0.9221 0.2500 0.1054  1 Cu 1.82, 5 Li 1.96-2.01
O 0.9249 0.5888 0.6193  1 Cu 1.87, 5 Li 1.90-2.01
O 0.9249 0.9112 0.6193  1 Cu 1.87, 5 Li 1.90-2.01
O 0.9437 0.2500 0.6135  1 Cu 1.83, 5 Li 1.92-2.02

Total energy (eV/f.u.): -54.9